No. 1
{"formula": "PuMnAgF6", "functional": "GGA+U", "state": "relaxed", "lattice_angstrom": [[6.0523, 0.0000, 0.0000], [-3.0261, 5.2414, 0.0000], [0.0000, 0.0000, 9.6523]], "species": ["F", "F", "F", "F", "Ag", "Ag", "Mn", "F", "F", "F", "F", "F", "Pu", "Pu", "F", "F", "Mn", "F"], "fractional_positions": [[0.3695, 0.0189, 0.6364], [0.3695, 0.3505, 0.8636], [0.0189, 0.3695, 0.1364], [0.9811, 0.6305, 0.8636], [0.0000, 0.0000, 0.0000], [0.0000, 0.0000, 0.5000], [0.3333, 0.6667, 0.2500], [0.6495, 0.0189, 0.8636], [0.3505, 0.3695, 0.3636], [0.6495, 0.6305, 0.6364], [0.6305, 0.6495, 0.1364], [0.9811, 0.3505, 0.6364], [0.3333, 0.6667, 0.7500], [0.6667, 0.3333, 0.2500], [0.0189, 0.6495, 0.3636], [0.6305, 0.9811, 0.3636], [0.6667, 0.3333, 0.7500], [0.3505, 0.9811, 0.1364]], "dos_at_fermi_per_ev_cell": 13.18, "magmom_total_mub_per_fu": 10.0, "dft_energy_ry_per_atom": -0.4872}

=====

No. 2
{"formula": "RbMn2AgF8", "functional": "GGA+U", "state": "relaxed", "lattice_angstrom": [[5.8953, 0.0000, 0.0000], [-2.9476, 5.1054, 0.0000], [0.0000, 0.0000, 7.9070]], "species": ["F", "F", "F", "Mn", "F", "Rb", "F", "F", "F", "Mn", "Ag", "F"], "fractional_positions": [[0.2303, 0.9124, 0.6799], [0.0876, 0.3178, 0.6799], [0.6822, 0.7697, 0.6799], [0.6667, 0.3333, 0.2397], [0.7697, 0.0876, 0.3201], [0.0000, 0.0000, 0.0000], [0.3178, 0.2303, 0.3201], [0.3333, 0.6667, 0.9993], [0.6667, 0.3333, 0.0007], [0.3333, 0.6667, 0.7603], [0.0000, 0.0000, 0.5000], [0.9124, 0.6822, 0.3201]], "dos_at_fermi_per_ev_cell": 0.10, "magmom_total_mub_per_fu": 8.0, "dft_energy_ry_per_atom": -0.3617}

=====

No. 3
{"formula": "RbMnAg2F8", "functional": "GGA+U", "state": "relaxed", "lattice_angstrom": [[-2.5318, -3.7524, -1.9715], [4.1082, 0.0697, -3.4678], [3.7760, -5.5812, 3.5247]], "species": ["Mn", "F", "F", "F", "F", "Rb", "F", "F", "Ag", "F", "F", "Ag"], "fractional_positions": [[0.0000, 0.0000, 0.0000], [0.0990, 0.7953, 0.1781], [0.8234, 0.1743, 0.1721], [0.3184, 0.2397, 0.9940], [0.9010, 0.2047, 0.8219], [0.0000, 0.0000, 0.5000], [0.4550, 0.7236, 0.4776], [0.5450, 0.2764, 0.5224], [0.5960, 0.4952, 0.2618], [0.6816, 0.7603, 0.0060], [0.1766, 0.8257, 0.8279], [0.4040, 0.5048, 0.7382]], "dos_at_fermi_per_ev_cell": 0.58, "magmom_total_mub_per_fu": 4.0, "dft_energy_ry_per_atom": -0.3140}

=====

No. 4
{"formula": "Rb2Mn3AgF12", "functional": "GGA+U", "state": "relaxed", "lattice_angstrom": [[-3.8803, -4.7109, -4.0074], [3.3907, -2.9770, -5.7402], [1.8167, -7.0486, 0.5702]], "species": ["F", "Ag", "Mn", "F", "F", "Mn", "Rb", "F", "F", "F", "F", "Rb", "F", "F", "F", "F", "Mn", "F"], "fractional_positions": [[0.1155, 0.1155, 0.5876], [0.0000, 0.0000, 0.0000], [0.0000, 0.5000, 0.0000], [0.1000, 0.7103, 0.7103], [0.7103, 0.1000, 0.7103], [0.5000, 0.0000, 0.0000], [0.3845, 0.3845, 0.3845], [0.5876, 0.1155, 0.1155], [0.8845, 0.4124, 0.8845], [0.9000, 0.2897, 0.2897], [0.7103, 0.7103, 0.1000], [0.6155, 0.6155, 0.6155], [0.4124, 0.8845, 0.8845], [0.2897, 0.9000, 0.2897], [0.2897, 0.2897, 0.9000], [0.1155, 0.5876, 0.1155], [0.0000, 0.0000, 0.5000], [0.8845, 0.8845, 0.4124]], "magmom_total_mub_per_fu": 11.9, "dft_energy_ry_per_atom": -0.3813}

=====

No. 5
{"formula": "Rb4MnAg3F12", "functional": "GGA+U", "state": "relaxed", "lattice_angstrom": [[-3.5995, -6.7508, -0.6516], [3.8668, 1.4735, -6.4677], [4.8994, -0.2714, 5.9057]], "species": ["Ag", "F", "F", "F", "Ag", "Mn", "F", "Rb", "Ag", "F", "Rb", "Rb", "F", "F", "F", "Rb", "F", "F", "F", "F"], "fractional_positions": [[0.5000, 0.0000, 0.5000], [0.0000, 0.2184, 0.2184], [0.2184, 0.0000, 0.2184], [0.7816, 0.0000, 0.7816], [0.5000, 0.5000, 0.0000], [0.0000, 0.0000, 0.0000], [0.7500, 0.5000, 0.2500], [0.5000, 0.5000, 0.5000], [0.0000, 0.5000, 0.5000], [0.7816, 0.7816, 0.0000], [0.0000, 0.5000, 0.0000], [0.0000, 0.0000, 0.5000], [0.7500, 0.2500, 0.5000], [0.2500, 0.7500, 0.5000], [0.2500, 0.5000, 0.7500], [0.5000, 0.0000, 0.0000], [0.0000, 0.7816, 0.7816], [0.5000, 0.2500, 0.7500], [0.2184, 0.2184, 0.0000], [0.5000, 0.7500, 0.2500]], "dos_at_fermi_per_ev_cell": 5.86, "magmom_total_mub_per_fu": 3.4, "dft_energy_ry_per_atom": -0.3120}

=====

No. 6
{"formula": "Rb2MnAg2F6", "functional": "GGA+U", "state": "relaxed", "lattice_angstrom": [[6.3156, 0.0000, 0.0000], [-3.1578, 5.8218, -0.0283], [0.0000, -3.3733, 5.7963]], "species": ["Mn", "F", "Ag", "F", "Ag", "F", "F", "Rb", "F", "Rb", "F"], "fractional_positions": [[0.5000, 0.0000, 0.5000], [0.7035, 0.4070, 0.5766], [0.9232, 0.8464, 0.7522], [0.2058, 0.8798, 0.2307], [0.0768, 0.1536, 0.2478], [0.6739, 0.8798, 0.2307], [0.3261, 0.1202, 0.7693], [0.7233, 0.4465, 0.1682], [0.2965, 0.5930, 0.4234], [0.2767, 0.5535, 0.8318], [0.7942, 0.1202, 0.7693]], "magmom_total_mub_per_fu": 5.0, "dft_energy_ry_per_atom": -0.3268}

=====

Repeat the fourth record exactly.
{"formula": "Rb2Mn3AgF12", "functional": "GGA+U", "state": "relaxed", "lattice_angstrom": [[-3.8803, -4.7109, -4.0074], [3.3907, -2.9770, -5.7402], [1.8167, -7.0486, 0.5702]], "species": ["F", "Ag", "Mn", "F", "F", "Mn", "Rb", "F", "F", "F", "F", "Rb", "F", "F", "F", "F", "Mn", "F"], "fractional_positions": [[0.1155, 0.1155, 0.5876], [0.0000, 0.0000, 0.0000], [0.0000, 0.5000, 0.0000], [0.1000, 0.7103, 0.7103], [0.7103, 0.1000, 0.7103], [0.5000, 0.0000, 0.0000], [0.3845, 0.3845, 0.3845], [0.5876, 0.1155, 0.1155], [0.8845, 0.4124, 0.8845], [0.9000, 0.2897, 0.2897], [0.7103, 0.7103, 0.1000], [0.6155, 0.6155, 0.6155], [0.4124, 0.8845, 0.8845], [0.2897, 0.9000, 0.2897], [0.2897, 0.2897, 0.9000], [0.1155, 0.5876, 0.1155], [0.0000, 0.0000, 0.5000], [0.8845, 0.8845, 0.4124]], "magmom_total_mub_per_fu": 11.9, "dft_energy_ry_per_atom": -0.3813}